The following is a PBE calculation of a geometry-optimized AlTl2Rh structure, from the Alexandria database.

Cell lengths 4.1089, 4.4492, 4.4492 Å; angles 90.00, 90.00, 90.00 degrees
Fractional coordinates of all 4 atoms:
Tl 0.0000 0.0000 0.0000
Tl 0.0000 0.5000 0.5000
Rh 0.5000 0.0000 0.5000
Al 0.5000 0.5000 0.0000

- Total DFT energy (no corrections): -14.58 eV per formula unit
- Polymorph energy (0 for the lowest one): 46.48 kJ/mol of atoms
- Space-group type: P4/mmm (123)
- DFT formation energy: 1.25 eV/f.u.